A geometry-optimized CuBiRh2 structure. Source: Alexandria, functional GGA-PBE.

a = 3.312 Å, b = 3.312 Å, c = 5.988 Å
α = 90.00°, β = 90.00°, γ = 90.00°
Positions (direct):
Cu1 0.000 0.000 0.000
Bi1 0.000 0.000 0.500
Rh1 0.500 0.500 0.228
Rh2 0.500 0.500 0.772

- V (A^3/atom) = 16.42
- E_tot (eV per atom) = -5.58
- DFT formation energy (kJ per mole of atoms) = 8.3
- size of the total moment (Bohr magnetons per cell) = 0.00

***

A geometry-optimized KRuSe2 structure. Source: Alexandria, functional GGA-PBE.

a = 3.174 Å, b = 3.174 Å, c = 29.583 Å
α = 90.00°, β = 90.00°, γ = 120.00°
Positions (direct):
K1 0.000 0.000 0.000
K2 0.333 0.667 0.667
K3 0.667 0.333 0.333
Ru1 0.000 0.000 0.500
Ru2 0.333 0.667 0.167
Ru3 0.667 0.333 0.833
Se1 0.000 0.000 0.421
Se2 0.000 0.000 0.579
Se3 0.333 0.667 0.087
Se4 0.333 0.667 0.246
Se5 0.667 0.333 0.754
Se6 0.667 0.333 0.913

- V (A^3/atom) = 21.51
- E_tot (eV per atom) = -4.06
- E_form (uncorrected) (eV per atom) = 0.27
- size of the total moment (Bohr magnetons per cell) = 0.00

***

A geometry-optimized YSe3N structure. Source: Alexandria, functional GGA-PBE.

a = 5.580 Å, b = 5.580 Å, c = 5.580 Å
α = 90.00°, β = 90.00°, γ = 90.00°
Positions (direct):
Y1 0.000 0.000 0.000
Se1 0.000 0.000 0.500
Se2 0.000 0.500 0.000
Se3 0.500 0.000 0.000
N1 0.500 0.500 0.500

- V (A^3/atom) = 34.75
- E_tot (eV per atom) = -4.35
- E_form (uncorrected) (eV per atom) = 0.70
- E above lowest polymorph (meV/atom) = 810
- size of the total moment (Bohr magnetons per cell) = 5.80

***

A geometry-optimized Pr3InGe2 structure. Source: Alexandria, functional GGA-PBE.

a = 7.994 Å, b = 7.994 Å, c = 7.994 Å
α = 60.48°, β = 60.48°, γ = 60.48°
Positions (direct):
Pr1 0.047 0.750 0.453
Pr2 0.250 0.547 0.953
Pr3 0.453 0.047 0.750
Pr4 0.547 0.953 0.250
Pr5 0.750 0.453 0.047
Pr6 0.953 0.250 0.547
In1 0.000 0.000 0.000
In2 0.500 0.500 0.500
Ge1 0.150 0.150 0.150
Ge2 0.350 0.350 0.350
Ge3 0.650 0.650 0.650
Ge4 0.850 0.850 0.850

- V (A^3/atom) = 30.43
- E_tot (eV per atom) = -4.94
- DFT formation energy (kJ per mole of atoms) = -53.3
- size of the total moment (Bohr magnetons per cell) = 0.00

***

A geometry-optimized Te2Pb structure. Source: Alexandria, functional GGA-PBE.

a = 4.034 Å, b = 4.034 Å, c = 11.320 Å
α = 90.00°, β = 90.00°, γ = 90.00°
Positions (direct):
Te1 0.000 0.000 0.158
Te2 0.000 0.000 0.842
Te3 0.500 0.500 0.342
Te4 0.500 0.500 0.658
Pb1 0.000 0.000 0.500
Pb2 0.500 0.500 0.000

- V (A^3/atom) = 30.69
- E_tot (eV per atom) = -3.31
- E_form (uncorrected) (eV per atom) = 0.02
- size of the total moment (Bohr magnetons per cell) = 0.00

***

A geometry-optimized Y12AlIn3 structure. Source: Alexandria, functional GGA-PBE.

a = 4.841 Å, b = 4.841 Å, c = 19.384 Å
α = 90.00°, β = 90.00°, γ = 90.00°
Positions (direct):
Y1 0.000 0.000 0.000
Y2 0.000 0.000 0.248
Y3 0.000 0.000 0.500
Y4 0.000 0.000 0.752
Y5 0.000 0.500 0.121
Y6 0.000 0.500 0.374
Y7 0.000 0.500 0.626
Y8 0.000 0.500 0.879
Y9 0.500 0.000 0.121
Y10 0.500 0.000 0.374
Y11 0.500 0.000 0.626
Y12 0.500 0.000 0.879
Al1 0.500 0.500 0.000
In1 0.500 0.500 0.248
In2 0.500 0.500 0.500
In3 0.500 0.500 0.752

- V (A^3/atom) = 28.40
- E_tot (eV per atom) = -5.85
- DFT formation energy (kJ per mole of atoms) = -24.6
- size of the total moment (Bohr magnetons per cell) = 3.15

***

A geometry-optimized La2DySn3 structure. Source: Alexandria, functional GGA-PBE.

a = 5.284 Å, b = 6.445 Å, c = 11.441 Å
α = 90.00°, β = 90.00°, γ = 90.00°
Positions (direct):
La1 0.000 0.000 0.174
La2 0.000 0.000 0.826
La3 0.500 0.500 0.326
La4 0.500 0.500 0.674
Dy1 0.000 0.000 0.500
Dy2 0.500 0.500 0.000
Sn1 0.000 0.500 0.143
Sn2 0.000 0.500 0.500
Sn3 0.000 0.500 0.857
Sn4 0.500 0.000 0.000
Sn5 0.500 0.000 0.357
Sn6 0.500 0.000 0.643

- V (A^3/atom) = 32.47
- E_tot (eV per atom) = -5.01
- DFT formation energy (kJ per mole of atoms) = -58.3
- size of the total moment (Bohr magnetons per cell) = 0.00

***

A geometry-optimized Ba2YGaBi structure. Source: Alexandria, functional GGA-PBE.

a = 6.707 Å, b = 6.707 Å, c = 5.821 Å
α = 90.00°, β = 90.00°, γ = 90.00°
Positions (direct):
Ba1 0.000 0.500 0.000
Ba2 0.500 0.000 0.000
Y1 0.000 0.000 0.500
Ga1 0.500 0.500 0.500
Bi1 0.000 0.000 0.000

- V (A^3/atom) = 52.36
- E_tot (eV per atom) = -3.41
- DFT formation energy (kJ per mole of atoms) = 3.0
- size of the total moment (Bohr magnetons per cell) = 0.00